i) PBE-GGA Tb5Tm4Th2, relaxed; size of the total moment = 0.02 μB/cell; ρ = 9.08 g/cm3; crystal system = monoclinic
1.0
8.727 0.000 0.000
0.000 3.481 0.000
-0.854 0.000 11.649
Tb Tm Th
5 4 2
direct
0.000 0.000 0.000
0.072 0.000 0.290
0.305 0.000 0.839
0.695 0.000 0.161
0.928 0.000 0.710
0.196 0.500 0.547
0.339 0.500 0.108
0.661 0.500 0.892
0.804 0.500 0.453
0.463 0.000 0.365
0.537 0.000 0.635



ii) PBE-GGA Tb5Tm4Th2, relaxed; size of the total moment = 0.00 μB/cell; ρ = 8.43 g/cm3; crystal system = orthorhombic
1.0
-1.702 4.586 12.201
1.702 -4.586 12.201
1.702 4.586 -12.201
Tb Tm Th
5 4 2
direct
0.000 0.000 0.000
0.164 0.343 0.821
0.478 0.657 0.821
0.522 0.343 0.179
0.836 0.657 0.179
0.240 0.740 0.500
0.316 0.500 0.816
0.684 0.500 0.184
0.760 0.260 0.500
0.108 0.608 0.500
0.892 0.392 0.500



Name the most stable of them. i).



i) PBE-GGA TbY4Th, relaxed; size of the total moment = 0.00 μB/cell; ρ = 6.16 g/cm3; crystal system = monoclinic
1.0
4.454 -7.264 0.000
4.454 7.264 0.000
-2.314 0.000 6.226
Tb Y Th
2 8 2
direct
0.091 0.909 0.750
0.909 0.091 0.250
0.080 0.325 0.874
0.214 0.599 0.462
0.325 0.080 0.374
0.401 0.786 0.038
0.599 0.214 0.962
0.675 0.920 0.626
0.786 0.401 0.538
0.920 0.675 0.126
0.500 0.500 0.250
0.500 0.500 0.750



ii) PBE-GGA TbY4Th, relaxed; size of the total moment = 0.00 μB/cell; ρ = 6.38 g/cm3; crystal system = monoclinic
1.0
5.639 -2.535 0.000
5.639 2.535 0.000
-2.220 0.000 6.793
Tb Y Th
1 4 1
direct
0.000 0.000 0.000
0.334 0.334 0.663
0.337 0.337 0.172
0.663 0.663 0.828
0.666 0.666 0.337
0.000 0.000 0.500



Name the most stable of them. ii).